Entry 1:
DFT (PBE) results for Cs4ScPb4 after structural relaxation.

Cell lengths 7.875, 10.631, 7.875 Å; angles 68.26, 90.00, 111.74 degrees
Last column: magnetic moment on the atom in μB.
Atoms (fractional coordinates):
Cs 0.181 0.716 0.465  0.01
Cs 0.535 0.716 0.819  0.01
Cs 0.465 0.284 0.535  0.01
Cs 0.819 0.284 0.181  0.01
Sc 0.000 0.000 0.000  0.62
Pb 0.276 0.280 0.996  0.14
Pb 0.004 0.280 0.724  0.14
Pb 0.996 0.720 0.004  0.14
Pb 0.724 0.720 0.276  0.14

* DFT formation energy: 0.09 eV per atom

Entry 2:
DFT (PBE) results for CsScPb5 after structural relaxation.

Cell lengths 4.642, 4.642, 11.747 Å; angles 90.00, 90.00, 90.00 degrees
Atoms (fractional coordinates):
Cs 0.000 0.000 0.500
Sc 0.500 0.500 0.000
Pb 0.000 0.500 0.214
Pb 0.000 0.500 0.786
Pb 0.500 0.000 0.214
Pb 0.500 0.000 0.786
Pb 0.000 0.000 0.000

* DFT formation energy: -0.15 eV per atom

Entry 3:
DFT (PBE) results for CsSc3Pb after structural relaxation.

Cell lengths 5.724, 5.724, 5.724 Å; angles 90.00, 90.00, 90.00 degrees
Last column: magnetic moment on the atom in μB.
Atoms (fractional coordinates):
Pb 0.000 0.000 0.000  -0.01
Cs 0.500 0.500 0.500  0.03
Sc 0.000 0.500 0.000  0.27
Sc 0.000 0.000 0.500  0.35
Sc 0.500 0.000 0.000  0.24

* DFT formation energy: 0.60 eV per atom
* excess energy over the best structure of this formula in the dataset: 0 meV per atom

Entry 4:
DFT (PBE) results for CsScTe3Pb after structural relaxation.

Cell lengths 4.390, 9.865, 11.866 Å; angles 109.29, 90.00, 90.00 degrees
Atoms (fractional coordinates):
Cs 0.250 0.212 0.255
Cs 0.750 0.788 0.745
Sc 0.250 0.630 0.146
Sc 0.750 0.370 0.854
Te 0.750 0.851 0.177
Te 0.250 0.149 0.823
Te 0.250 0.643 0.405
Te 0.750 0.357 0.595
Te 0.750 0.420 0.109
Te 0.250 0.580 0.891
Pb 0.250 0.140 0.572
Pb 0.750 0.860 0.428

* formation energy from raw total energies: -0.93 eV per atom

Entry 5:
DFT (PBE) results for Cs2Pb3Se4 after structural relaxation.

Cell lengths 8.442, 8.692, 9.412 Å; angles 90.00, 116.65, 90.00 degrees
Atoms (fractional coordinates):
Cs 0.102 0.586 0.205
Cs 0.898 0.414 0.795
Cs 0.398 0.086 0.795
Cs 0.602 0.914 0.205
Pb 0.000 0.000 0.000
Pb 0.500 0.500 0.000
Pb 0.538 0.750 0.576
Pb 0.962 0.250 0.424
Pb 0.462 0.250 0.424
Pb 0.038 0.750 0.576
Se 0.705 0.750 0.911
Se 0.795 0.250 0.089
Se 0.295 0.250 0.089
Se 0.205 0.750 0.911
Se 0.196 0.970 0.391
Se 0.804 0.030 0.609
Se 0.304 0.470 0.609
Se 0.696 0.530 0.391

* formation energy from raw total energies: -0.71 eV per atom
* excess energy over the best structure of this formula in the dataset: 12 meV per atom

Entry 6:
DFT (PBE) results for Cs11PbSe2 after structural relaxation.

Cell lengths 13.522, 14.729, 14.729 Å; angles 72.98, 62.67, 62.67 degrees
Atoms (fractional coordinates):
Cs 0.627 0.697 0.570
Cs 0.373 0.303 0.430
Cs 0.107 0.570 0.697
Cs 0.873 0.930 0.803
Cs 0.893 0.430 0.303
Cs 0.127 0.070 0.197
Cs 0.393 0.803 0.930
Cs 0.607 0.197 0.070
Cs 0.500 0.500 0.500
Cs 0.000 0.000 0.000
Cs 0.875 0.772 0.228
Cs 0.125 0.228 0.772
Cs 0.625 0.272 0.728
Cs 0.375 0.728 0.272
Cs 0.460 0.956 0.340
Cs 0.540 0.044 0.660
Cs 0.244 0.340 0.956
Cs 0.040 0.160 0.544
Cs 0.756 0.660 0.044
Cs 0.960 0.840 0.456
Cs 0.256 0.544 0.160
Cs 0.744 0.456 0.840
Pb 0.750 0.750 0.750
Pb 0.250 0.250 0.250
Se 0.638 0.679 0.321
Se 0.362 0.321 0.679
Se 0.862 0.179 0.821
Se 0.138 0.821 0.179

* formation energy from raw total energies: -0.40 eV per atom

Entry 7:
DFT (PBE) results for CsPbSe2 after structural relaxation.

Cell lengths 11.905, 11.905, 11.905 Å; angles 17.27, 17.27, 17.27 degrees
Atoms (fractional coordinates):
Pb 0.000 0.000 0.000
Cs 0.500 0.500 0.500
Se 0.914 0.914 0.914
Se 0.086 0.086 0.086

* formation energy from raw total energies: 0.02 eV per atom

Entry 8:
DFT (PBE) results for Cs3Pb2Se4 after structural relaxation.

Cell lengths 5.544, 8.371, 10.521 Å; angles 118.28, 90.00, 109.34 degrees
Atoms (fractional coordinates):
Cs 0.647 0.295 0.746
Cs 0.000 0.000 0.000
Cs 0.353 0.705 0.254
Pb 0.672 0.345 0.360
Pb 0.328 0.655 0.640
Se 0.683 0.365 0.113
Se 0.317 0.635 0.887
Se 0.874 0.749 0.588
Se 0.126 0.251 0.412

* formation energy from raw total energies: -0.82 eV per atom
* excess energy over the best structure of this formula in the dataset: 19 meV per atom

Entry 9:
DFT (PBE) results for Cs2PbSe after structural relaxation.

Cell lengths 6.344, 6.344, 6.344 Å; angles 60.00, 60.00, 60.00 degrees
Last column: magnetic moment on the atom in μB.
Atoms (fractional coordinates):
Pb 0.500 0.500 0.500  0.63
Cs 0.250 0.250 0.250  0.05
Cs 0.750 0.750 0.750  0.05
Se 0.000 0.000 0.000  -0.02

* formation energy from raw total energies: -0.20 eV per atom
* excess energy over the best structure of this formula in the dataset: 187 meV per atom

Entry 10:
DFT (PBE) results for CsPbSe2 after structural relaxation.

Cell lengths 7.482, 6.110, 15.585 Å; angles 74.28, 90.00, 90.00 degrees
Atoms (fractional coordinates):
Cs 0.756 0.424 0.194
Cs 0.244 0.576 0.806
Cs 0.256 0.076 0.306
Cs 0.744 0.924 0.694
Pb 0.753 0.566 0.483
Pb 0.247 0.434 0.517
Pb 0.253 0.934 0.017
Pb 0.747 0.066 0.983
Se 0.026 0.041 0.865
Se 0.974 0.959 0.135
Se 0.526 0.459 0.635
Se 0.474 0.541 0.365
Se 0.370 0.416 0.043
Se 0.630 0.584 0.957
Se 0.870 0.084 0.457
Se 0.130 0.916 0.543

* formation energy from raw total energies: -0.72 eV per atom

Entry 11:
DFT (PBE) results for CsPb4Se5 after structural relaxation.

Cell lengths 4.416, 7.735, 10.146 Å; angles 77.55, 77.43, 73.42 degrees
Atoms (fractional coordinates):
Cs 0.000 0.000 0.000
Pb 0.599 0.204 0.598
Pb 0.202 0.391 0.206
Pb 0.798 0.609 0.794
Pb 0.401 0.796 0.402
Se 0.205 0.920 0.670
Se 0.795 0.080 0.330
Se 0.382 0.356 0.880
Se 0.000 0.500 0.500
Se 0.618 0.644 0.120

* formation energy from raw total energies: -0.59 eV per atom

Entry 12:
DFT (PBE) results for CsPbSe2 after structural relaxation.

Cell lengths 8.260, 8.260, 7.825 Å; angles 58.14, 58.14, 90.00 degrees
Atoms (fractional coordinates):
Pb 0.000 0.000 0.000
Pb 0.750 0.250 0.500
Cs 0.500 0.500 0.000
Cs 0.250 0.750 0.500
Se 0.712 0.125 0.250
Se 0.038 0.625 0.250
Se 0.375 0.288 0.750
Se 0.875 0.962 0.750

* formation energy from raw total energies: -0.66 eV per atom

Entry 13:
DFT (PBE) results for CsPb3Se3 after structural relaxation.

Cell lengths 8.440, 8.440, 8.440 Å; angles 90.00, 90.00, 90.00 degrees
Atoms (fractional coordinates):
Pb 0.250 0.000 0.500
Pb 0.000 0.500 0.250
Pb 0.500 0.750 0.000
Pb 0.750 0.000 0.500
Pb 0.000 0.500 0.750
Pb 0.500 0.250 0.000
Cs 0.500 0.500 0.500
Cs 0.000 0.000 0.000
Se 0.000 0.250 0.500
Se 0.000 0.750 0.500
Se 0.500 0.000 0.750
Se 0.750 0.500 0.000
Se 0.500 0.000 0.250
Se 0.250 0.500 0.000

* formation energy from raw total energies: -0.41 eV per atom
* excess energy over the best structure of this formula in the dataset: 79 meV per atom

Entry 14:
DFT (PBE) results for Cs3Pb2Se4 after structural relaxation.

Cell lengths 8.965, 9.577, 9.577 Å; angles 79.93, 95.51, 95.51 degrees
Atoms (fractional coordinates):
Cs 0.896 0.997 0.741
Cs 0.604 0.259 0.003
Cs 0.104 0.003 0.259
Cs 0.396 0.741 0.997
Cs 0.250 0.377 0.623
Cs 0.750 0.623 0.377
Pb 0.415 0.817 0.574
Pb 0.085 0.426 0.183
Pb 0.585 0.183 0.426
Pb 0.915 0.574 0.817
Se 0.485 0.059 0.708
Se 0.015 0.292 0.941
Se 0.515 0.941 0.292
Se 0.985 0.708 0.059
Se 0.101 0.729 0.611
Se 0.399 0.389 0.271
Se 0.899 0.271 0.389
Se 0.601 0.611 0.729

* formation energy from raw total energies: -0.84 eV per atom
* excess energy over the best structure of this formula in the dataset: 0 meV per atom

Entry 15:
DFT (PBE) results for CsPbSe2 after structural relaxation.

Cell lengths 10.189, 10.189, 10.189 Å; angles 24.74, 24.74, 24.74 degrees
Atoms (fractional coordinates):
Pb 0.500 0.500 0.500
Cs 0.000 0.000 0.000
Se 0.888 0.888 0.888
Se 0.112 0.112 0.112

* formation energy from raw total energies: -0.39 eV per atom

Entry 16:
DFT (PBE) results for CsPb3Se3 after structural relaxation.

Cell lengths 9.117, 9.117, 9.595 Å; angles 61.64, 61.64, 60.00 degrees
Atoms (fractional coordinates):
Cs 0.331 0.331 0.007
Cs 0.669 0.669 0.993
Pb 0.438 0.760 0.643
Pb 0.760 0.159 0.643
Pb 0.159 0.438 0.643
Pb 0.841 0.562 0.357
Pb 0.240 0.841 0.357
Pb 0.562 0.240 0.357
Se 0.204 0.551 0.298
Se 0.947 0.204 0.298
Se 0.551 0.947 0.298
Se 0.449 0.053 0.702
Se 0.053 0.796 0.702
Se 0.796 0.449 0.702

* formation energy from raw total energies: -0.49 eV per atom
* excess energy over the best structure of this formula in the dataset: 0 meV per atom

Entry 17:
DFT (PBE) results for CsPbSe2 after structural relaxation.

Cell lengths 4.379, 4.379, 8.867 Å; angles 75.71, 75.71, 60.00 degrees
Atoms (fractional coordinates):
Cs 0.500 0.500 0.501
Pb 0.667 0.667 0.999
Se 0.064 0.064 0.807
Se 0.269 0.269 0.194

* formation energy from raw total energies: -0.64 eV per atom

Entry 18:
DFT (PBE) results for Cs2PbSe after structural relaxation.

Cell lengths 9.195, 9.195, 9.195 Å; angles 96.36, 96.36, 141.12 degrees
Last column: magnetic moment on the atom in μB.
Atoms (fractional coordinates):
Cs 0.743 0.375 0.868  0.02
Cs 0.507 0.875 0.132  0.02
Cs 0.125 0.257 0.632  0.02
Cs 0.625 0.493 0.368  0.02
Pb 0.000 0.000 0.000  0.34
Pb 0.250 0.750 0.500  0.34
Se 0.500 0.500 0.000  0.08
Se 0.750 0.250 0.500  0.08

* formation energy from raw total energies: -0.39 eV per atom
* excess energy over the best structure of this formula in the dataset: 0 meV per atom

Entry 19:
DFT (PBE) results for Cs2PbSe2 after structural relaxation.

Cell lengths 9.179, 9.435, 10.490 Å; angles 90.00, 100.67, 90.00 degrees
Atoms (fractional coordinates):
Cs 0.526 0.276 0.066
Cs 0.026 0.224 0.066
Cs 0.974 0.776 0.934
Cs 0.474 0.724 0.934
Cs 0.947 0.657 0.327
Cs 0.447 0.843 0.327
Cs 0.553 0.157 0.673
Cs 0.053 0.343 0.673
Pb 0.351 0.405 0.377
Pb 0.649 0.595 0.623
Pb 0.851 0.095 0.377
Pb 0.149 0.905 0.623
Se 0.750 0.950 0.144
Se 0.250 0.550 0.144
Se 0.750 0.450 0.856
Se 0.250 0.050 0.856
Se 0.683 0.396 0.419
Se 0.183 0.104 0.419
Se 0.817 0.896 0.581
Se 0.317 0.604 0.581

* formation energy from raw total energies: -0.92 eV per atom
* excess energy over the best structure of this formula in the dataset: 0 meV per atom

Entry 20:
DFT (PBE) results for Cs2PbSe2 after structural relaxation.

Cell lengths 8.600, 8.600, 5.382 Å; angles 90.00, 90.00, 90.00 degrees
Atoms (fractional coordinates):
Pb 0.000 0.000 0.000
Pb 0.500 0.500 0.000
Cs 0.143 0.643 0.500
Cs 0.643 0.857 0.500
Cs 0.857 0.357 0.500
Cs 0.357 0.143 0.500
Se 0.322 0.822 0.000
Se 0.822 0.678 0.000
Se 0.678 0.178 0.000
Se 0.178 0.322 0.000

* formation energy from raw total energies: -0.65 eV per atom
* excess energy over the best structure of this formula in the dataset: 279 meV per atom

Size of the total moment / Bohr magnetons per cell: 2.77 0.00 1.55 0.00 0.00 0.01 0.00 0.00 2.00 0.00 0.00 0.00 0.00 0.00 0.00 0.00 0.00 3.08 0.00 0.00
Uncorrected energy / eV/atom: -2.642 -3.824 -4.107 -4.315 -3.680 -1.837 -2.866 -3.482 -2.429 -3.604 -3.896 -3.538 -3.618 -3.501 -3.270 -3.697 -3.520 -2.616 -3.402 -3.123